No. 1
## Sm2HfSi4Pt3 (PBE)

Data for crystalline Sm2HfSi4Pt3 at its relaxed geometry.

Properties
DOS(E_F) = 3.9 states/eV per cell
Spin magnetization = 0.000 μB/atom
Formation energy without anion corrections = -1030 meV per atom

```
data_Sm2HfSi4Pt3
_chemical_formula_sum 'Sm2 Hf1 Si4 Pt3'
_cell_length_a 4.2065
_cell_length_b 4.2065
_cell_length_c 10.5359
_cell_angle_alpha 90.00
_cell_angle_beta 90.00
_cell_angle_gamma 90.00
_symmetry_space_group_name_H-M 'P -4 m 2'
_symmetry_Int_Tables_number 115
loop_
_symmetry_equiv_pos_as_xyz
'x,y,z'
'y,-x,-z'
'-x,-y,z'
'-y,x,-z'
'-x,y,z'
'-y,-x,-z'
'x,-y,z'
'y,x,-z'
loop_
_atom_site_label
_atom_site_type_symbol
_atom_site_fract_x
_atom_site_fract_y
_atom_site_fract_z
Sm1 Sm 0.0000 0.5000 0.2365
Hf1 Hf 0.0000 0.0000 0.5000
Si1 Si 0.0000 0.0000 0.0000
Si2 Si 0.0000 0.5000 0.6529
Si3 Si 0.5000 0.5000 0.0000
Pt1 Pt 0.0000 0.5000 0.8843
Pt2 Pt 0.5000 0.5000 0.5000
```

***

No. 2
## BeZnAsIr (PBE)

Data for crystalline BeZnAsIr at its relaxed geometry.

Properties
DOS(E_F) = 1.9 states/eV per cell
Spin magnetization = 0.000 μB/atom
Excess energy over the best structure of this formula in the dataset = 35 meV/atom
Formation energy from the elements = -0.15 eV per atom

```
data_BeZnAsIr
_chemical_formula_sum 'Be2 Zn2 As2 Ir2'
_cell_length_a 8.0649
_cell_length_b 3.0186
_cell_length_c 5.8399
_cell_angle_alpha 90.00
_cell_angle_beta 126.25
_cell_angle_gamma 90.00
_symmetry_space_group_name_H-M 'C 1 m 1'
_symmetry_Int_Tables_number 8
loop_
_symmetry_equiv_pos_as_xyz
'x,y,z'
'x,-y,z'
'x+1/2,y+1/2,z'
'x+1/2,-y+1/2,z'
loop_
_atom_site_label
_atom_site_type_symbol
_atom_site_fract_x
_atom_site_fract_y
_atom_site_fract_z
Be1 Be 0.0000 0.0000 0.0000
Zn1 Zn 0.1183 0.5000 0.7433
As1 As 0.2580 0.5000 0.4285
Ir1 Ir 0.3597 0.0000 0.1778
```

***

No. 3
## Sc3ReRh (PBE)

Data for crystalline Sc3ReRh at its relaxed geometry.

Properties
DOS(E_F) = 6.5 states/eV per cell
Spin magnetization = 0.000 μB/atom
Excess energy over the best structure of this formula in the dataset = 0 meV/atom
Formation energy from the elements = 0.47 eV per atom

```
data_Sc3ReRh
_chemical_formula_sum 'Sc3 Re1 Rh1'
_cell_length_a 4.9259
_cell_length_b 4.9259
_cell_length_c 4.9259
_cell_angle_alpha 90.00
_cell_angle_beta 90.00
_cell_angle_gamma 90.00
_symmetry_space_group_name_H-M 'P m -3 m'
_symmetry_Int_Tables_number 221
_symmetry_space_group_name_Hall '-P 4 2 3'
loop_
_atom_site_label
_atom_site_type_symbol
_atom_site_fract_x
_atom_site_fract_y
_atom_site_fract_z
Sc1 Sc 0.0000 0.0000 0.5000
Re1 Re 0.0000 0.0000 0.0000
Rh1 Rh 0.5000 0.5000 0.5000
```

***

No. 4
## Ta2AgO5 (PBE)

Data for crystalline Ta2AgO5 at its relaxed geometry.

Properties
DOS(E_F) = 14.2 states/eV per cell
Spin magnetization = 0.001 μB/atom
Formation energy without anion corrections = -2175 meV per atom

```
data_Ta2AgO5
_chemical_formula_sum 'Ta8 Ag4 O20'
_cell_length_a 3.8626
_cell_length_b 10.5386
_cell_length_c 10.5302
_cell_angle_alpha 90.00
_cell_angle_beta 90.00
_cell_angle_gamma 90.00
_symmetry_space_group_name_H-M 'C m c m'
_symmetry_Int_Tables_number 63
_symmetry_space_group_name_Hall '-C 2c 2'
loop_
_atom_site_label
_atom_site_type_symbol
_atom_site_fract_x
_atom_site_fract_y
_atom_site_fract_z
Ta1 Ta 0.0000 0.1367 0.0687
Ag1 Ag 0.0000 0.4127 0.2500
O1 O 0.0000 0.0408 0.6105
O2 O 0.0000 0.1814 0.2500
O3 O 0.0000 0.3165 0.5429
```

***

No. 5
## Si2SbCl (PBE)

Data for crystalline Si2SbCl at its relaxed geometry.

Properties
DOS(E_F) = 1.9 states/eV per cell
Spin magnetization = 0.000 μB/atom
Excess energy over the best structure of this formula in the dataset = 523 meV/atom
Formation energy without anion corrections = 403 meV per atom

```
data_Si2SbCl
_chemical_formula_sum 'Si8 Sb4 Cl4'
_cell_length_a 8.2953
_cell_length_b 8.2953
_cell_length_c 5.4209
_cell_angle_alpha 90.00
_cell_angle_beta 90.00
_cell_angle_gamma 90.00
_symmetry_space_group_name_H-M 'I -4 2 d'
_symmetry_Int_Tables_number 122
_symmetry_space_group_name_Hall 'I -4 2bw'
loop_
_atom_site_label
_atom_site_type_symbol
_atom_site_fract_x
_atom_site_fract_y
_atom_site_fract_z
Si1 Si 0.2087 0.2500 0.1250
Sb1 Sb 0.0000 0.0000 0.0000
Cl1 Cl 0.0000 0.0000 0.5000
```

***

No. 6
## Cs2LiSe (PBE)

Data for crystalline Cs2LiSe at its relaxed geometry.

Properties
DOS(E_F) = 6.3 states/eV per cell
Spin magnetization = 0.000 μB/atom
Excess energy over the best structure of this formula in the dataset = 0 meV/atom
Formation energy without anion corrections = -767 meV per atom

```
data_Cs2LiSe
_chemical_formula_sum 'Cs8 Li4 Se4'
_cell_length_a 20.1140
_cell_length_b 4.8364
_cell_length_c 10.5015
_cell_angle_alpha 90.00
_cell_angle_beta 104.99
_cell_angle_gamma 90.00
_symmetry_space_group_name_H-M 'C 1 2/c 1'
_symmetry_Int_Tables_number 15
loop_
_symmetry_equiv_pos_as_xyz
'x,y,z'
'-x,-y,-z'
'-x,y,-z+1/2'
'x,-y,z+1/2'
'x+1/2,y+1/2,z'
'-x+1/2,-y+1/2,-z'
'-x+1/2,y+1/2,-z+1/2'
'x+1/2,-y+1/2,z+1/2'
loop_
_atom_site_label
_atom_site_type_symbol
_atom_site_fract_x
_atom_site_fract_y
_atom_site_fract_z
Cs1 Cs 0.1288 0.0008 0.0637
Li1 Li 0.0000 0.4954 0.7500
Se1 Se 0.0000 0.0047 0.2500
```

***

No. 7
## Hf8HN2 (PBE)

Data for crystalline Hf8HN2 at its relaxed geometry.

Properties
DOS(E_F) = 12.6 states/eV per cell
Spin magnetization = 0.000 μB/atom
VASP energy = -9.753 eV/atom

```
data_Hf8HN2
_chemical_formula_sum 'Hf16 H2 N4'
_cell_length_a 10.0983
_cell_length_b 7.7814
_cell_length_c 4.7208
_cell_angle_alpha 90.00
_cell_angle_beta 90.13
_cell_angle_gamma 90.00
_symmetry_space_group_name_H-M 'C 1 2/m 1'
_symmetry_Int_Tables_number 12
loop_
_symmetry_equiv_pos_as_xyz
'x,y,z'
'-x,-y,-z'
'-x,y,-z'
'x,-y,z'
'x+1/2,y+1/2,z'
'-x+1/2,-y+1/2,-z'
'-x+1/2,y+1/2,-z'
'x+1/2,-y+1/2,z'
loop_
_atom_site_label
_atom_site_type_symbol
_atom_site_fract_x
_atom_site_fract_y
_atom_site_fract_z
Hf1 Hf 0.1106 0.2211 0.2539
Hf2 Hf 0.1137 0.5000 0.7504
Hf3 Hf 0.1712 0.0000 0.7505
H1 H 0.0000 0.0000 0.0000
N1 N 0.1127 0.5000 0.2491
```

***

No. 8
## Tm6HgTe3Se2 (PBE)

Data for crystalline Tm6HgTe3Se2 at its relaxed geometry.

Properties
DOS(E_F) = 7.8 states/eV per cell
Spin magnetization = 0.000 μB/atom
Formation energy without anion corrections = -1249 meV per atom

```
data_Tm6HgTe3Se2
_chemical_formula_sum 'Tm12 Hg2 Te6 Se4'
_cell_length_a 7.2765
_cell_length_b 12.5632
_cell_length_c 7.3793
_cell_angle_alpha 90.00
_cell_angle_beta 108.98
_cell_angle_gamma 90.00
_symmetry_space_group_name_H-M 'C 1 2/m 1'
_symmetry_Int_Tables_number 12
loop_
_symmetry_equiv_pos_as_xyz
'x,y,z'
'-x,-y,-z'
'-x,y,-z'
'x,-y,z'
'x+1/2,y+1/2,z'
'-x+1/2,-y+1/2,-z'
'-x+1/2,y+1/2,-z'
'x+1/2,-y+1/2,z'
loop_
_atom_site_label
_atom_site_type_symbol
_atom_site_fract_x
_atom_site_fract_y
_atom_site_fract_z
Tm1 Tm 0.2402 0.1662 0.2246
Tm2 Tm 0.2438 0.5000 0.2253
Hg1 Hg 0.0000 0.0000 0.0000
Te1 Te 0.0000 0.1687 0.5000
Te2 Te 0.0000 0.5000 0.5000
Se1 Se 0.0000 0.3343 0.0000
```

***

No. 9
## TlSe2Br (PBE)

Data for crystalline TlSe2Br at its relaxed geometry.

Properties
DOS(E_F) = 1.4 states/eV per cell
Spin magnetization = 0.000 μB/atom
Excess energy over the best structure of this formula in the dataset = 45 meV/atom
Formation energy without anion corrections = -231 meV per atom

```
data_TlSe2Br
_chemical_formula_sum 'Tl1 Se2 Br1'
_cell_length_a 3.6781
_cell_length_b 3.6781
_cell_length_c 9.3343
_cell_angle_alpha 90.00
_cell_angle_beta 90.00
_cell_angle_gamma 90.00
_symmetry_space_group_name_H-M 'P 4 m m'
_symmetry_Int_Tables_number 99
loop_
_symmetry_equiv_pos_as_xyz
'x,y,z'
'-y,x,z'
'-x,-y,z'
'y,-x,z'
'-x,y,z'
'y,x,z'
'x,-y,z'
'-y,-x,z'
loop_
_atom_site_label
_atom_site_type_symbol
_atom_site_fract_x
_atom_site_fract_y
_atom_site_fract_z
Tl1 Tl 0.0000 0.0000 0.0000
Se1 Se 0.0000 0.0000 0.5552
Se2 Se 0.5000 0.5000 0.6339
Br1 Br 0.5000 0.5000 0.1824
```

***

No. 10
## InGa3Ir (PBE)

Data for crystalline InGa3Ir at its relaxed geometry.

Properties
DOS(E_F) = 13.7 states/eV per cell
Spin magnetization = 0.000 μB/atom
Excess energy over the best structure of this formula in the dataset = 0 meV/atom
Formation energy from the elements = -0.18 eV per atom

```
data_InGa3Ir
_chemical_formula_sum 'In8 Ga24 Ir8'
_cell_length_a 11.0085
_cell_length_b 12.3497
_cell_length_c 5.9053
_cell_angle_alpha 90.00
_cell_angle_beta 99.18
_cell_angle_gamma 90.00
_symmetry_space_group_name_H-M 'C 1 2/c 1'
_symmetry_Int_Tables_number 15
loop_
_symmetry_equiv_pos_as_xyz
'x,y,z'
'-x,-y,-z'
'-x,y,-z+1/2'
'x,-y,z+1/2'
'x+1/2,y+1/2,z'
'-x+1/2,-y+1/2,-z'
'-x+1/2,y+1/2,-z+1/2'
'x+1/2,-y+1/2,z+1/2'
loop_
_atom_site_label
_atom_site_type_symbol
_atom_site_fract_x
_atom_site_fract_y
_atom_site_fract_z
In1 In 0.1496 0.2138 0.1247
Ga1 Ga 0.1135 0.2733 0.5911
Ga2 Ga 0.1325 0.0239 0.4912
Ga3 Ga 0.1347 0.4857 0.0144
Ir1 Ir 0.0000 0.1193 0.7500
Ir2 Ir 0.0000 0.3802 0.2500
```